No. 1
ReMoAu | SCAN | PBEsol geometry

a b c (Å): 3.1372 4.3635 13.7594
angles (deg): 90.00 90.00 90.00
Closest atoms and distances in Å follow each position.
Space group Fmm2 (No. 42)
Symmetry-distinct sites (fractional):
Re 0.0000 0.0000 0.0000 x4  2 Mo 2.62, 4 Re 2.69, 2 Au 2.88
Mo 0.0000 0.0000 0.3479 x4  2 Re 2.62, 4 Mo 2.69, 2 Au 2.85
Au 0.0000 0.0000 0.6751 x4  4 Au 2.69, 2 Mo 2.85, 2 Re 2.88

Calculated values
* calculated formation energy: 83 kJ/mol of formula units
* crystal system: orthorhombic
* calculated volume: 15.70 Å³ per atom
* spin magnetization: 0.00 μB per cell

***

No. 2
ReSi2MoAu | SCAN | PBEsol geometry

a b c (Å): 4.4370 4.4370 5.1277
angles (deg): 90.00 90.00 90.00
Closest atoms and distances in Å follow each position.
Space group P4/mmm (No. 123)
Symmetry-distinct sites (fractional):
Re 0.0000 0.0000 0.0000 x1  4 Mo 3.14, 8 Si 3.39
Si 0.0000 0.5000 0.5000 x2  2 Au 2.22
Mo 0.5000 0.5000 0.0000 x1  2 Au 2.56
Au 0.5000 0.5000 0.5000 x1  4 Si 2.22

Calculated values
* total energy: -37.065 eV/atom
* crystal system: tetragonal
* calculated volume: 20.19 Å³ per atom
* spin magnetization: 0.20 μB per cell

***

No. 3
ReSn2MoAu | SCAN | PBEsol geometry

a b c (Å): 5.0071 5.0071 5.0324
angles (deg): 90.00 90.00 90.00
Closest atoms and distances in Å follow each position.
Space group P4/mmm (No. 123)
Symmetry-distinct sites (fractional):
Re 0.0000 0.0000 0.0000 x1  2 Au 2.52
Sn 0.0000 0.5000 0.5000 x2  2 Au 2.50
Mo 0.5000 0.5000 0.0000 x1  4 Re 3.54, 8 Sn 3.55
Au 0.0000 0.0000 0.5000 x1  4 Sn 2.50, 2 Re 2.52

Calculated values
* calculated formation energy: 927 kJ/mol of formula units
* crystal system: tetragonal
* calculated volume: 25.23 Å³ per atom
* spin magnetization: 5.98 μB per cell

***

No. 4
YRe2MoAu | SCAN | PBEsol geometry

a b c (Å): 4.8063 4.8063 4.9615
angles (deg): 90.00 90.00 90.00
Closest atoms and distances in Å follow each position.
Space group P4/mmm (No. 123)
Symmetry-distinct sites (fractional):
Y 0.0000 0.0000 0.0000 x1  2 Au 2.48
Re 0.0000 0.5000 0.5000 x2  2 Au 2.40
Mo 0.5000 0.5000 0.0000 x1  4 Y 3.40, 8 Re 3.45
Au 0.0000 0.0000 0.5000 x1  4 Re 2.40, 2 Y 2.48

Calculated values
* calculated formation energy: 1029 kJ/mol of formula units
* crystal system: tetragonal
* calculated volume: 22.92 Å³ per atom
* spin magnetization: 0.00 μB per cell

***

No. 5
MoRh2Au | SCAN | PBEsol geometry

a b c (Å): 6.1970 6.1970 6.1970
angles (deg): 90.00 90.00 90.00
Closest atoms and distances in Å follow each position.
Space group F-43m (No. 216)
Symmetry-distinct sites (fractional):
Mo 0.0000 0.0000 0.0000 x4  4 Rh 2.68, 4 Au 2.68
Rh 0.0000 0.0000 0.5000 x4  4 Rh 2.68, 4 Au 2.68
Rh 0.2500 0.2500 0.2500 x4  4 Mo 2.68, 4 Rh 2.68
Au 0.2500 0.2500 0.7500 x4  4 Mo 2.68, 4 Rh 2.68

Calculated values
* calculated formation energy: 113 kJ/mol of formula units
* crystal system: cubic
* calculated volume: 14.87 Å³ per atom
* spin magnetization: 0.00 μB per cell

***

No. 6
MoRh2Au | SCAN | PBEsol geometry

a b c (Å): 6.1901 6.1901 6.1901
angles (deg): 90.00 90.00 90.00
Closest atoms and distances in Å follow each position.
Space group Fm-3m (No. 225)
Symmetry-distinct sites (fractional):
Mo 0.0000 0.0000 0.0000 x4  8 Rh 2.68
Rh 0.2500 0.2500 0.2500 x8  4 Mo 2.68, 4 Au 2.68
Au 0.0000 0.0000 0.5000 x4  8 Rh 2.68

Calculated values
* calculated formation energy: 44 kJ/mol of formula units
* crystal system: cubic
* calculated volume: 14.82 Å³ per atom
* spin magnetization: 0.01 μB per cell

***

No. 7
MoRh2Au | SCAN | PBEsol geometry

a b c (Å): 2.7537 2.7537 7.7777
angles (deg): 90.00 90.00 90.00
Closest atoms and distances in Å follow each position.
Space group P4/mmm (No. 123)
Symmetry-distinct sites (fractional):
Mo 0.0000 0.0000 0.0000 x1  8 Rh 2.66, 4 Mo 2.75
Rh 0.5000 0.5000 0.2323 x2  4 Mo 2.66, 4 Rh 2.75, 4 Au 2.85
Au 0.0000 0.0000 0.5000 x1  4 Au 2.75, 8 Rh 2.85

Calculated values
* calculated formation energy: -42 kJ/mol of formula units
* crystal system: tetragonal
* calculated volume: 14.74 Å³ per atom
* spin magnetization: 0.00 μB per cell

***

No. 8
MoRhAu2 | SCAN | PBEsol geometry

a b c (Å): 3.9272 3.9272 4.0302
angles (deg): 90.00 90.00 90.00
Closest atoms and distances in Å follow each position.
Space group P4/mmm (No. 123)
Symmetry-distinct sites (fractional):
Mo 0.0000 0.0000 0.0000 x1  4 Rh 2.78, 8 Au 2.81
Rh 0.5000 0.5000 0.0000 x1  4 Mo 2.78, 8 Au 2.81
Au 0.0000 0.5000 0.5000 x2  4 Au 2.78, 4 Mo 2.81, 4 Rh 2.81

Calculated values
* calculated formation energy: 103 kJ/mol of formula units
* crystal system: tetragonal
* calculated volume: 15.54 Å³ per atom
* spin magnetization: 2.93 μB per cell

***

No. 9
MoRhAu2 | SCAN | PBEsol geometry

a b c (Å): 2.7921 2.7921 7.9932
angles (deg): 90.00 90.00 90.00
Closest atoms and distances in Å follow each position.
Space group P4mm (No. 99)
Symmetry-distinct sites (fractional):
Mo 0.0000 0.0000 0.0000 x1  4 Rh 2.61, 4 Mo 2.79, 4 Au 2.84
Rh 0.5000 0.5000 0.2133 x1  4 Mo 2.61, 4 Rh 2.79, 4 Au 2.86
Au 0.0000 0.0000 0.4725 x1  8 Au 2.79-2.93, 4 Rh 2.86
Au 0.5000 0.5000 0.7440 x1  8 Au 2.79-2.93, 4 Mo 2.84

Calculated values
* calculated formation energy: -12 kJ/mol of formula units
* crystal system: tetragonal
* calculated volume: 15.58 Å³ per atom
* spin magnetization: 0.00 μB per cell

***

No. 10
MoRhAu | SCAN | PBEsol geometry

a b c (Å): 2.7709 2.7709 6.8714
angles (deg): 90.00 90.00 120.00
Closest atoms and distances in Å follow each position.
Space group P3m1 (No. 156)
Symmetry-distinct sites (fractional):
Mo 0.0000 0.0000 0.0000 x1  3 Rh 2.60, 6 Mo 2.77, 3 Au 2.90
Rh 0.3333 0.6667 0.7014 x1  3 Mo 2.60, 6 Rh 2.77, 3 Au 2.89
Au 0.6667 0.3333 0.3519 x1  6 Au 2.77, 3 Rh 2.89, 3 Mo 2.90

Calculated values
* calculated formation energy: 9 kJ/mol of formula units
* crystal system: trigonal
* calculated volume: 15.23 Å³ per atom
* spin magnetization: 0.00 μB per cell

***

No. 11
MoRh2Au | SCAN | PBEsol geometry

a b c (Å): 9.1789 2.7530 4.7110
angles (deg): 90.00 100.51 90.00
Closest atoms and distances in Å follow each position.
Space group Cm (No. 8)
Symmetry-distinct sites (fractional):
Mo 0.0000 0.0000 0.0000 x2  7 Rh 2.65-2.81, 2 Mo 2.75, 3 Au 2.79-2.83
Rh 0.0099 0.5000 0.5231 x2  4 Mo 2.65-2.81, 3 Au 2.72-2.77, 5 Rh 2.72-2.84
Rh 0.2539 0.0000 0.7817 x2  3 Mo 2.68-2.71, 4 Au 2.71-2.75, 5 Rh 2.72-2.84
Au 0.2556 0.5000 0.2774 x2  7 Rh 2.71-2.77, 2 Au 2.75, 3 Mo 2.79-2.83

Calculated values
* calculated formation energy: 15 kJ/mol of formula units
* crystal system: monoclinic
* calculated volume: 14.63 Å³ per atom
* spin magnetization: 0.00 μB per cell

***

No. 12
MoRuAu | SCAN | PBEsol geometry

a b c (Å): 4.3230 4.3230 2.8499
angles (deg): 90.00 90.00 120.00
Closest atoms and distances in Å follow each position.
Space group P-6m2 (No. 187)
Symmetry-distinct sites (fractional):
Mo 0.0000 0.0000 0.0000 x1  3 Ru 2.50
Ru 0.6667 0.3333 0.0000 x1  3 Mo 2.50
Au 0.3333 0.6667 0.5000 x1  2 Au 2.85, 6 Mo 2.87, 6 Ru 2.87

Calculated values
* calculated formation energy: 72 kJ/mol of formula units
* crystal system: hexagonal
* calculated volume: 15.37 Å³ per atom
* spin magnetization: 0.00 μB per cell

***

| no. | DOS(E_F) (states/eV per cell) |
| --- | --- |
| 1 | 6.9 |
| 2 | 3.5 |
| 3 | 3.1 |
| 4 | 6.2 |
| 5 | 15.7 |
| 6 | 15.9 |
| 7 | 2.8 |
| 8 | 3.1 |
| 9 | 2.8 |
| 10 | 1.9 |
| 11 | 8.2 |
| 12 | 2.5 |